Entry 1:
TbPm6Co3, optimized geometry, DFT PBE; volume = 26.96 Å³ per atom; energy relative to the elements = 0.00 eV/atom; symmetry = No. 36; VASP energy = -5.441 eV/atom
1.0
-7.3426 -1.0728 0.8062
1.2173 -2.0072 8.4156
-1.3333 8.6070 -0.6896
Tb Pm Co
2 12 6
Cartesian
-2.1236 5.6880 1.7920
-4.5459 -0.0458 6.6536
-7.4185 3.9821 5.5409
-3.4761 3.3905 6.1055
-3.1610 6.8681 4.8038
-5.8927 2.4214 8.5613
-2.8429 8.2410 -0.3996
-4.9401 4.3024 2.9333
-0.4721 1.5235 5.3742
-4.0311 -2.6286 8.8677
-3.0910 2.8827 0.1384
-5.8226 -1.5640 3.8958
-7.3773 1.6404 2.7995
-3.4350 1.0488 3.3641
-4.6048 5.5779 0.3544
0.7761 -1.0003 6.0544
-2.3469 3.6838 3.5007
-5.6846 1.7594 5.0944
0.7502 0.4756 7.7821
-4.6307 7.0538 2.0821

=====

Entry 2:
Zn3B7ClO13, optimized geometry, DFT PBE; volume = 9.52 Å³ per atom; symmetry = No. 161; VASP energy = -7.029 eV/atom; energy relative to the elements, uncorrected = -2.159 eV/atom
1.0
8.6572 -0.0030 -0.0022
4.3520 7.4838 -0.0022
4.3520 2.5026 7.0530
Zn B Cl O
6 14 2 26
Cartesian
2.3830 1.3777 3.2776
2.3894 3.5460 0.1909
4.2666 0.2741 0.2014
11.0701 6.3582 6.8019
11.0637 8.5413 3.7257
12.9473 5.2731 3.7152
10.0622 4.2647 3.0079
6.8875 3.9606 2.7963
15.5682 8.9522 6.3207
8.7473 5.0270 5.1670
8.7447 6.5529 3.0121
13.0759 4.0593 6.5344
10.0856 9.2564 6.5386
13.0733 7.5206 1.6384
10.8588 6.2533 1.7295
8.6794 7.5126 5.3139
10.8667 3.7179 5.3010
6.5302 6.2147 1.7874
6.5381 3.7505 5.2581
8.6560 2.5270 1.7745
3.9982 2.2991 1.6233
12.6788 7.2908 5.1476
9.3404 6.2571 5.7183
11.1654 4.3089 3.9826
11.6644 4.3807 6.3410
12.2988 6.3382 2.0060
9.6535 8.6118 5.3014
7.9702 6.5036 1.7749
7.3358 4.9524 5.5346
9.6301 2.8831 2.8145
0.2118 0.1218 0.0860
8.8925 5.1135 3.6103
11.1680 2.2417 5.1822
10.4866 6.8185 0.3781
7.5550 7.7363 6.2988
6.8393 3.1445 3.9068
7.5316 3.5299 1.6557
6.1580 5.1304 2.7723
6.1281 5.7536 0.4556
5.1178 4.1119 5.2693
8.0552 1.2333 2.1113
10.4567 4.8440 1.7407
8.0786 7.3970 3.9821
9.4464 3.8495 5.6378
5.7776 7.4175 2.1918
6.8368 2.7059 6.2563
9.3170 2.4879 0.4561
10.1062 7.0369 2.7276

=====

Entry 3:
Y2ScZn12Cu3, optimized geometry, DFT PBE; volume = 19.54 Å³ per atom; energy relative to the elements = 0.14 eV/atom; symmetry = No. 166; VASP energy = -2.467 eV/atom
1.0
-4.6077 -2.2018 6.5534
2.2521 -5.3730 5.9233
1.6127 1.9145 7.9221
Y Sc Zn Cu
2 1 12 3
Cartesian
-0.4391 -3.3456 12.0571
-0.3038 -2.3147 8.3417
0.0000 0.0000 0.0000
0.8492 -0.0800 9.6473
-1.2011 -5.4090 14.1451
1.0433 -3.9237 14.6390
-3.0787 -2.6792 8.7830
-1.4318 -2.7795 14.8663
1.2530 -4.6816 8.3851
-1.5921 -5.5803 10.7515
0.4582 -0.2514 6.2537
-1.7862 -1.7366 5.7599
2.3358 -2.9811 11.6158
0.6890 -2.8808 5.5325
-1.9958 -0.9787 12.0137
-2.3039 -1.1009 3.2767
1.1261 -2.6865 2.9616
0.8064 0.9572 3.9611

=====

Entry 4:
CdAg5Au6, optimized geometry, DFT PBE; volume = 18.15 Å³ per atom; E above lowest polymorph = 25 meV per atom; energy relative to the elements = -0.05 eV/atom; symmetry = No. 12; VASP energy = -2.950 eV/atom
1.0
-3.4046 3.6958 0.7716
-1.0572 -0.4917 9.7035
2.7836 2.6988 5.3618
Cd Ag Au
1 5 6
Cartesian
0.0000 0.0000 0.0000
-0.0352 3.5541 5.5757
0.5634 0.7250 5.0199
-2.2309 1.6020 5.2376
1.1630 1.4822 10.0454
-1.6430 2.3488 10.2612
-1.7105 3.6335 3.1796
-0.5359 1.5402 7.6366
-1.1236 0.8096 2.6223
-3.3382 2.3945 7.8529
-1.1423 4.3627 8.2003
0.0323 2.2695 12.6573

=====

Entry 5:
K2NaSc, optimized geometry, DFT PBE; volume = 47.10 Å³ per atom; E above lowest polymorph = 59 meV per atom; energy relative to the elements = 0.67 eV/atom; symmetry = No. 122; VASP energy = -1.792 eV/atom
1.0
10.0934 0.0000 0.0000
0.0000 10.0934 0.0000
5.0467 5.0467 3.6986
Sc Na K
2 2 4
Cartesian
0.0000 0.0000 0.0000
10.0934 5.0467 1.8493
5.0467 5.0467 0.0000
5.0467 10.0934 1.8493
7.3570 2.5234 0.9246
2.7365 7.5701 0.9246
7.5701 7.7832 2.7739
12.6168 12.4037 2.7739

=====

Entry 6:
Be2Rh2Pb, optimized geometry, DFT PBE; volume = 14.75 Å³ per atom; E above lowest polymorph = 55 meV per atom; energy relative to the elements = -0.11 eV/atom; symmetry = No. 139; VASP energy = -5.279 eV/atom
1.0
3.6708 0.0000 0.0000
0.0000 3.6708 0.0000
1.8354 1.8354 5.4750
Pb Be Rh
1 2 2
Cartesian
0.0000 0.0000 0.0000
3.6708 1.8354 2.7375
1.8354 3.6708 2.7375
1.8354 1.8354 1.3940
3.6708 3.6708 4.0810